[1]
DFT (PBE) results for CsNa2SbRh after structural relaxation. Values from VASP.

Cell and atoms, written as Quantum ESPRESSO input:
```
&SYSTEM
  ibrav = 0, nat = 5, ntyp = 4
/
ATOMIC_SPECIES
Cs 132.91 Cs.upf
Na 22.99 Na.upf
Sb 121.76 Sb.upf
Rh 102.91 Rh.upf
CELL_PARAMETERS angstrom
5.727 0.000 0.000
0.000 5.727 0.000
0.000 0.000 5.022
ATOMIC_POSITIONS angstrom
Cs 0.000 0.000 0.000
Na 0.000 2.863 2.511
Na 2.863 0.000 2.511
Sb 2.863 2.863 0.000
Rh 2.863 2.863 2.511
```

Output
Uncorrected energy (eV per atom): -3.167
DOS(E_F) (states/eV per atom): 0.38

[2]
DFT (PBE) results for PrPuIr2 after structural relaxation. Values from VASP.

Cell and atoms, written as Quantum ESPRESSO input:
```
&SYSTEM
  ibrav = 0, nat = 4, ntyp = 3
/
ATOMIC_SPECIES
Pr 140.91 Pr.upf
Pu 244.00 Pu.upf
Ir 192.22 Ir.upf
CELL_PARAMETERS angstrom
3.471 0.000 0.000
0.000 3.471 0.000
0.000 0.000 7.143
ATOMIC_POSITIONS angstrom
Pr 0.000 0.000 0.000
Pu 0.000 0.000 3.571
Ir 1.736 1.736 1.992
Ir 1.736 1.736 5.151
```

Output
Energy relative to the elements (eV per atom): -0.4336
DOS(E_F) (states/eV per atom): 2.26

[3]
DFT (PBE) results for PuZr2Co after structural relaxation. Values from VASP.

Cell and atoms, written as Quantum ESPRESSO input:
```
&SYSTEM
  ibrav = 0, nat = 16, ntyp = 3
/
ATOMIC_SPECIES
Pu 244.00 Pu.upf
Zr 91.22 Zr.upf
Co 58.93 Co.upf
CELL_PARAMETERS angstrom
6.797 0.000 0.000
0.000 6.797 0.000
0.000 0.000 6.797
ATOMIC_POSITIONS angstrom
Pu 0.000 0.000 0.000
Pu 0.000 3.399 3.399
Pu 3.399 0.000 3.399
Pu 3.399 3.399 0.000
Zr 0.000 0.000 3.399
Zr 0.000 3.399 0.000
Zr 1.699 1.699 5.098
Zr 1.699 5.098 1.699
Zr 3.399 0.000 0.000
Zr 3.399 3.399 3.399
Zr 5.098 1.699 1.699
Zr 5.098 5.098 5.098
Co 1.699 1.699 1.699
Co 1.699 5.098 5.098
Co 5.098 1.699 5.098
Co 5.098 5.098 1.699
```

Output
Energy relative to the elements (eV per atom): 0.1905
ΔE to the lowest computed polymorph (eV/atom): 0.2478
DOS(E_F) (states/eV per atom): 2.25

Number 1: size of the total moment 0.000 μB/f.u.. Number 2: size of the total moment 4.420 μB/f.u.. Number 3: size of the total moment 2.954 μB/f.u..